Sm3Ho4Sc2 (GGA-PBE, optimized geometry); final energy = -44.77 eV per cell; DOS at the Fermi energy = 13.0 states/eV/f.u.; symmetry = C2/m, No. 12; ΔH_f (0 K) = 40 meV/atom
1.0
8.388 -1.743 0.000
8.388 1.743 0.000
-1.710 0.000 9.390
Sm Ho Sc
3 4 2
Cartesian
0.000 0.000 0.000 Sm
1.627 0.000 5.542 Sm
13.440 0.000 3.848 Sm
2.554 0.000 2.143 Ho
6.999 0.000 6.345 Ho
8.068 0.000 3.045 Ho
12.513 0.000 7.247 Ho
5.448 0.000 0.726 Sc
9.619 0.000 8.665 Sc